1.
The following is a meta-GGA SCAN calculation of a PBEsol-optimized structure of Tl2CrFeH, from Alexandria via LeMat-Bulk.

Cell lengths 5.0130, 5.0130, 4.1133 Å; angles 90.00, 90.00, 90.00 degrees
With the nearest neighbours (Å) after each atom.
Atoms (fractional coordinates):
Tl1 0.0000 0.5000 0.0000  2 Fe 2.51
Tl2 0.5000 0.0000 0.0000  2 Fe 2.51
Cr1 0.0000 0.0000 0.5000  2 Fe 2.06
Fe1 0.0000 0.0000 0.0000  2 Cr 2.06
H1 0.5000 0.5000 0.5000  8 Tl 3.24, 4 Cr 3.54

As for the space group: P4/mmm, No. 123. The total energy is -1.324 hartree per atom.

2.
The following is a meta-GGA SCAN calculation of a PBEsol-optimized structure of LaMg2Al2, from Alexandria via LeMat-Bulk.

Cell lengths 8.4968, 8.4968, 3.0404 Å; angles 90.00, 90.00, 90.00 degrees
With the nearest neighbours (Å) after each atom.
Atoms (fractional coordinates):
La1 0.0000 0.0000 0.0000  2 La 3.04, 4 Mg 3.37
La2 0.5000 0.5000 0.0000  2 La 3.04, 4 Mg 3.37
Mg1 0.1234 0.3766 0.0000  6 Al 2.90-2.96, 3 Mg 2.97-3.04
Mg2 0.3766 0.8766 0.0000  6 Al 2.90-2.96, 3 Mg 2.97-3.04
Mg3 0.6234 0.1234 0.0000  6 Al 2.90-2.96, 3 Mg 2.97-3.04
Mg4 0.8766 0.6234 0.0000  6 Al 2.90-2.96, 3 Mg 2.97-3.04
Al1 0.1715 0.6715 0.5000  6 Mg 2.90-2.96, 2 Al 3.04
Al2 0.3285 0.1715 0.5000  6 Mg 2.90-2.96, 2 Al 3.04
Al3 0.6715 0.8285 0.5000  6 Mg 2.90-2.96, 2 Al 3.04
Al4 0.8285 0.3285 0.5000  6 Mg 2.90-2.96, 2 Al 3.04

As for the space group: P4/mbm, No. 127. The total energy is -0.509 hartree per atom.

3.
The following is a meta-GGA SCAN calculation of a PBEsol-optimized structure of NiHg2Mo, from Alexandria via LeMat-Bulk.

Cell lengths 9.6092, 9.6092, 9.6092 Å; angles 17.19, 17.19, 17.19 degrees
With the nearest neighbours (Å) after each atom.
Atoms (fractional coordinates):
Ni1 0.0000 0.0000 0.0000  3 Mo 2.52, 3 Hg 2.76
Hg1 0.2555 0.2555 0.2555  3 Ni 2.76, 6 Hg 2.87
Hg2 0.4882 0.4882 0.4882  6 Hg 2.87, 3 Mo 3.00
Mo1 0.7333 0.7333 0.7333  3 Ni 2.52

The value obtained for the relative energy among the computed polymorphs is 0.140 eV/atom. As for the space group: R3m, No. 160. The total energy is -1.706 hartree per atom.

Which of these has the highest total energy?
LaMg2Al2

Look up the total energy of the third one.
-1.706 hartree per atom

What is the total energy in the first record?
-1.324 hartree per atom